[1]
Entry from OQMD: an optimized crystal structure of Al11Ni2 (PBE-GGA). Values from VASP.

## Properties
**ΔE to the lowest computed polymorph**: 0 meV/atom
**Calculated total energy**: -4.004 eV/atom

Quantum ESPRESSO input file:
```
&SYSTEM
  ibrav = 0, nat = 13, ntyp = 2
/
ATOMIC_SPECIES
Al 26.98 Al.upf
Ni 58.69 Ni.upf
CELL_PARAMETERS angstrom
5.528 5.998 5.476
8.155 5.361 1.128
4.306 8.731 1.322
ATOMIC_POSITIONS crystal
Al 0.914 0.914 0.417
Al 0.086 0.086 0.583
Al 0.417 0.914 0.914
Al 0.834 0.834 0.834
Al 0.000 0.000 0.000
Al 0.166 0.166 0.166
Al 0.583 0.086 0.086
Al 0.914 0.417 0.914
Al 0.653 0.653 0.653
Al 0.086 0.583 0.086
Al 0.347 0.347 0.347
Ni 0.567 0.567 0.567
Ni 0.433 0.433 0.433
```

=====

[2]
Entry from OQMD: an optimized crystal structure of AlNi2 (PBE-GGA). Values from VASP.

## Properties
**Calculated total energy**: -5.367 eV/atom

Quantum ESPRESSO input file:
```
&SYSTEM
  ibrav = 0, nat = 30, ntyp = 2
/
ATOMIC_SPECIES
Ni 58.69 Ni.upf
Al 26.98 Al.upf
CELL_PARAMETERS angstrom
8.674 0.000 0.000
0.000 8.674 0.000
0.000 0.000 4.677
ATOMIC_POSITIONS crystal
Ni 0.732 0.066 0.000
Ni 0.096 0.904 0.500
Ni 0.184 0.184 0.251
Ni 0.596 0.596 0.000
Ni 0.566 0.768 0.500
Ni 0.066 0.732 0.000
Ni 0.232 0.434 0.500
Ni 0.684 0.316 0.249
Ni 0.404 0.404 0.000
Ni 0.684 0.316 0.751
Ni 0.904 0.096 0.500
Ni 0.316 0.684 0.751
Ni 0.816 0.816 0.749
Ni 0.934 0.268 0.000
Ni 0.184 0.184 0.749
Ni 0.816 0.816 0.251
Ni 0.434 0.232 0.500
Ni 0.268 0.934 0.000
Ni 0.768 0.566 0.500
Ni 0.316 0.684 0.249
Al 0.958 0.354 0.500
Al 0.354 0.958 0.500
Al 0.458 0.146 0.000
Al 0.646 0.042 0.500
Al 0.146 0.458 0.000
Al 0.500 0.500 0.500
Al 0.000 0.000 0.000
Al 0.542 0.854 0.000
Al 0.854 0.542 0.000
Al 0.042 0.646 0.500
```

=====

[3]
Entry from OQMD: an optimized crystal structure of Al7Ni8 (PBE-GGA). Values from VASP.

## Properties
**ΔE to the lowest computed polymorph**: 0 meV/atom
**Calculated total energy**: -5.143 eV/atom

Quantum ESPRESSO input file:
```
&SYSTEM
  ibrav = 0, nat = 30, ntyp = 2
/
ATOMIC_SPECIES
Al 26.98 Al.upf
Ni 58.69 Ni.upf
CELL_PARAMETERS angstrom
8.795 0.000 0.000
0.000 8.795 0.000
0.000 0.000 4.767
ATOMIC_POSITIONS crystal
Al 0.569 0.788 0.500
Al 0.108 0.892 0.500
Al 0.788 0.569 0.500
Al 0.392 0.392 0.000
Al 0.892 0.108 0.500
Al 0.000 0.000 0.000
Al 0.431 0.212 0.500
Al 0.608 0.608 0.000
Al 0.931 0.288 0.000
Al 0.500 0.500 0.500
Al 0.212 0.431 0.500
Al 0.712 0.069 0.000
Al 0.288 0.931 0.000
Al 0.069 0.712 0.000
Ni 0.171 0.171 0.252
Ni 0.671 0.329 0.248
Ni 0.863 0.545 0.000
Ni 0.137 0.455 0.000
Ni 0.329 0.671 0.248
Ni 0.045 0.637 0.500
Ni 0.363 0.955 0.500
Ni 0.545 0.863 0.000
Ni 0.829 0.829 0.748
Ni 0.955 0.363 0.500
Ni 0.455 0.137 0.000
Ni 0.171 0.171 0.748
Ni 0.329 0.671 0.752
Ni 0.671 0.329 0.752
Ni 0.637 0.045 0.500
Ni 0.829 0.829 0.252
```

=====

[4]
Entry from OQMD: an optimized crystal structure of Al4Ni9 (PBE-GGA). Values from VASP.

## Properties
**ΔE to the lowest computed polymorph**: 49 meV/atom
**Calculated total energy**: -5.258 eV/atom

Quantum ESPRESSO input file:
```
&SYSTEM
  ibrav = 0, nat = 13, ntyp = 2
/
ATOMIC_SPECIES
Al 26.98 Al.upf
Ni 58.69 Ni.upf
CELL_PARAMETERS angstrom
2.385 1.377 7.977
-2.385 1.377 7.977
0.000 -2.754 7.977
ATOMIC_POSITIONS crystal
Al 0.166 0.166 0.166
Al 0.557 0.557 0.557
Al 0.834 0.834 0.834
Al 0.443 0.443 0.443
Ni 0.087 0.583 0.087
Ni 0.913 0.417 0.913
Ni 0.913 0.913 0.417
Ni 0.087 0.087 0.583
Ni 0.583 0.087 0.087
Ni 0.657 0.657 0.657
Ni 0.000 0.000 0.000
Ni 0.343 0.343 0.343
Ni 0.417 0.913 0.913
```

=====

[5]
Entry from OQMD: an optimized crystal structure of Al17Ni12 (PBE-GGA). Values from VASP.

## Properties
**ΔE to the lowest computed polymorph**: 0 meV/atom
**Calculated total energy**: -4.897 eV/atom

Quantum ESPRESSO input file:
```
&SYSTEM
  ibrav = 0, nat = 29, ntyp = 2
/
ATOMIC_SPECIES
Al 26.98 Al.upf
Ni 58.69 Ni.upf
CELL_PARAMETERS angstrom
-4.541 4.541 4.541
4.541 -4.541 4.541
4.541 4.541 -4.541
ATOMIC_POSITIONS crystal
Al 0.280 0.592 0.592
Al 0.408 0.688 0.000
Al 0.000 0.000 0.669
Al 0.688 0.000 0.408
Al 0.312 0.720 0.312
Al 0.408 0.000 0.688
Al 0.331 0.331 0.331
Al 0.592 0.280 0.592
Al 0.000 0.000 0.000
Al 0.000 0.688 0.408
Al 0.669 0.000 0.000
Al 0.592 0.592 0.280
Al 0.000 0.669 0.000
Al 0.688 0.408 0.000
Al 0.000 0.408 0.688
Al 0.720 0.312 0.312
Al 0.312 0.312 0.720
Ni 0.000 0.193 0.383
Ni 0.807 0.807 0.190
Ni 0.617 0.617 0.810
Ni 0.000 0.383 0.193
Ni 0.193 0.383 0.000
Ni 0.193 0.000 0.383
Ni 0.810 0.617 0.617
Ni 0.383 0.193 0.000
Ni 0.190 0.807 0.807
Ni 0.617 0.810 0.617
Ni 0.383 0.000 0.193
Ni 0.807 0.190 0.807
```

=====

[6]
Entry from OQMD: an optimized crystal structure of Al25Ni4 (PBE-GGA). Values from VASP.

## Properties
**Calculated total energy**: -4.000 eV/atom

Quantum ESPRESSO input file:
```
&SYSTEM
  ibrav = 0, nat = 29, ntyp = 2
/
ATOMIC_SPECIES
Al 26.98 Al.upf
Ni 58.69 Ni.upf
CELL_PARAMETERS angstrom
-3.830 -6.406 -3.958
4.028 -2.915 6.830
-5.767 5.708 2.353
ATOMIC_POSITIONS crystal
Al 0.302 0.302 0.724
Al 0.186 0.810 0.810
Al 0.376 0.000 0.190
Al 0.724 0.302 0.302
Al 0.376 0.190 0.000
Al 0.276 0.578 0.578
Al 0.190 0.376 0.000
Al 0.624 0.624 0.814
Al 0.422 0.000 0.698
Al 0.578 0.578 0.276
Al 0.422 0.698 0.000
Al 0.814 0.624 0.624
Al 0.000 0.422 0.698
Al 0.578 0.276 0.578
Al 0.000 0.698 0.422
Al 0.190 0.000 0.376
Al 0.698 0.000 0.422
Al 0.624 0.814 0.624
Al 0.698 0.422 0.000
Al 0.302 0.724 0.302
Al 0.000 0.190 0.376
Al 0.810 0.810 0.186
Al 0.000 0.376 0.190
Al 0.000 0.000 0.000
Al 0.810 0.186 0.810
Ni 0.714 0.000 0.000
Ni 0.000 0.000 0.714
Ni 0.286 0.286 0.286
Ni 0.000 0.714 0.000
```

=====

[7]
Entry from OQMD: an optimized crystal structure of AlNi5 (PBE-GGA). Values from VASP.

## Properties
**ΔE to the lowest computed polymorph**: 14 meV/atom
**Calculated total energy**: -5.349 eV/atom

Quantum ESPRESSO input file:
```
&SYSTEM
  ibrav = 0, nat = 12, ntyp = 2
/
ATOMIC_SPECIES
Ni 58.69 Ni.upf
Al 26.98 Al.upf
CELL_PARAMETERS angstrom
2.307 -4.039 0.000
2.307 4.039 0.000
0.000 0.000 7.442
ATOMIC_POSITIONS crystal
Ni 0.675 0.838 0.250
Ni 0.500 0.500 0.500
Ni 0.167 0.833 0.063
Ni 0.325 0.162 0.750
Ni 0.500 0.500 0.000
Ni 0.833 0.167 0.937
Ni 0.167 0.833 0.437
Ni 0.838 0.675 0.750
Ni 0.833 0.167 0.563
Ni 0.162 0.325 0.250
Al 0.325 0.675 0.750
Al 0.675 0.325 0.250
```

=====

[8]
Entry from OQMD: an optimized crystal structure of AlNi5 (PBE-GGA). Values from VASP.

## Properties
**ΔE to the lowest computed polymorph**: 9 meV/atom
**Calculated total energy**: -5.354 eV/atom

Quantum ESPRESSO input file:
```
&SYSTEM
  ibrav = 0, nat = 12, ntyp = 2
/
ATOMIC_SPECIES
Ni 58.69 Ni.upf
Al 26.98 Al.upf
CELL_PARAMETERS angstrom
-0.475 -2.669 3.741
4.109 1.857 -1.006
-1.731 6.049 4.096
ATOMIC_POSITIONS crystal
Ni 0.333 0.667 0.429
Ni 0.667 0.333 0.929
Ni 0.343 0.172 0.250
Ni 0.333 0.667 0.071
Ni 0.667 0.333 0.571
Ni 0.172 0.828 0.750
Ni 0.172 0.343 0.750
Ni 0.828 0.657 0.250
Ni 0.657 0.828 0.750
Ni 0.828 0.172 0.250
Al 0.000 0.000 0.000
Al 0.000 0.000 0.500
```

=====

Which of these has the highest calculated total energy? Al25Ni4